1.
The following is a PBE calculation of an optimized crystal structure of Y2AlIr, from the Alexandria database.

Calculated values
The density of states at the Fermi level is 3.032 states/eV/f.u. For the formation enthalpy at 0 K, the calculation gives -0.488 eV per atom. The final energy comes out at -6.8711 eV/atom.

Unit cell a=3.263 b=3.263 c=8.432 alpha=90.00 beta=90.00 gamma=90.00
Fractional positions:
Y1 0.500 0.500 0.301
Al1 0.000 0.000 0.558
Ir1 0.500 0.500 0.709
Y2 0.000 0.000 0.932



2.
The following is a PBE calculation of an optimized crystal structure of CaCdTc2, from the Alexandria database.

Calculated values
The density of states at the Fermi level is 4.023 states/eV/f.u. For the formation enthalpy at 0 K, the calculation gives 0.632 eV per atom. The final energy comes out at -5.2806 eV/atom.

Unit cell a=3.605 b=3.605 c=6.474 alpha=90.00 beta=90.00 gamma=90.00
Fractional positions:
Tc1 0.000 0.000 0.573
Cd1 0.500 0.500 0.750
Ca1 0.500 0.500 0.250
Tc2 0.000 0.000 0.927